# 1
Below is a relaxed structure of La3NiN, with properties calculated at the PBE level.

```
10
Lattice="4.790 0.000 0.000 0.000 7.172 0.000 0.000 0.000 7.088" Properties=species:S:1:pos:R:3 pbc="T T T"
La 0.000 0.400 0.000
La 0.000 2.929 4.623
La 0.000 4.243 1.079
La 0.000 6.772 3.544
La 2.395 1.800 1.930
La 2.395 5.372 5.474
Ni 2.395 1.540 5.783
Ni 2.395 5.632 2.239
N 0.000 1.863 2.375
N 0.000 5.309 5.919
```

Results
- crystal system = orthorhombic
- formation energy without anion corrections (eV/atom) = -0.579
- space-group type = Pmc2_1, No. 26

***

# 2
Below is a relaxed structure of K5Ga2Se5, with properties calculated at the PBE level.

```
12
Lattice="7.390 -2.260 0.000 7.390 2.260 0.000 -2.418 0.000 11.311" Properties=species:S:1:pos:R:3 pbc="T T T"
K 0.000 0.000 0.000
K 0.787 0.000 6.630
K 1.954 0.000 9.852
K 10.410 0.000 1.458
K 11.576 0.000 4.681
Ga 5.149 0.000 7.987
Ga 7.214 0.000 3.324
Se 1.169 0.000 3.256
Se 5.426 0.000 1.657
Se 6.182 0.000 5.655
Se 6.938 0.000 9.654
Se 11.194 0.000 8.054
```

Results
- crystal system = monoclinic
- formation energy without anion corrections (eV/atom) = -0.938
- space-group type = C2/m, No. 12

***

# 3
Below is a relaxed structure of NbGeF2, with properties calculated at the PBE level.

```
8
Lattice="-3.636 3.636 2.647 3.636 -3.636 2.647 3.636 3.636 -2.647" Properties=species:S:1:pos:R:3 pbc="T T T"
Nb 0.000 0.000 0.000
Nb 0.000 3.636 1.323
Ge 3.636 0.000 1.323
Ge 0.000 0.000 2.647
F 5.454 0.917 -0.662
F 0.917 1.818 0.662
F -1.818 2.719 1.985
F 2.719 1.818 3.308
```

Results
- crystal system = tetragonal
- formation energy without anion corrections (eV/atom) = -1.068
- space-group type = I-42d, No. 122

***

# 4
Below is a relaxed structure of Hf4BiS8, with properties calculated at the PBE level.

```
13
Lattice="0.000 5.399 5.399 5.399 0.000 5.399 5.399 5.399 0.000" Properties=species:S:1:pos:R:3 pbc="T T T"
Hf 4.135 4.135 4.135
Hf 6.663 6.663 4.135
Hf 6.663 4.135 6.663
Hf 4.135 6.663 6.663
Bi 0.000 0.000 0.000
S 1.537 1.537 1.537
S 3.862 3.862 1.537
S 3.862 1.537 3.862
S 6.676 4.123 4.123
S 1.537 3.862 3.862
S 4.123 6.676 4.123
S 4.123 4.123 6.676
S 6.676 6.676 6.676
```

Results
- crystal system = cubic
- formation energy without anion corrections (eV/atom) = -1.229
- space-group type = F-43m, No. 216

***

# 5
Below is a relaxed structure of Rb2SeBr6O, with properties calculated at the PBE level.

```
10
Lattice="-4.087 4.087 4.801 4.087 -4.087 4.801 4.087 4.087 -4.801" Properties=species:S:1:pos:R:3 pbc="T T T"
Rb 4.087 0.000 2.400
Rb 0.000 4.087 2.400
Se 0.000 0.000 0.000
Br 1.845 1.845 0.000
Br 2.242 -2.242 4.801
Br 0.000 0.000 2.722
Br 0.000 0.000 6.879
Br -2.242 2.242 4.801
Br 2.242 2.242 4.801
O 0.000 0.000 4.801
```

Results
- crystal system = tetragonal
- formation energy without anion corrections (eV/atom) = -0.615
- space-group type = I4/mmm, No. 139

***

| no. | density (g/cm3) |
| --- | --- |
| 1 | 6.68 |
| 2 | 3.21 |
| 3 | 4.83 |
| 4 | 6.22 |
| 5 | 3.86 |